A plane-wave DFT calculation with GGA-PBE was carried out for a geometry-optimized Ho2Te4Au structure.

Properties
**Formation energy from raw total energies**: -0.868 eV/atom
**Magnetic moment**: 0.00 μB per cell
**V**: 205 Å³/f.u.

abc: 7.6794 6.2357 8.7666
angles: 90.00 102.21 90.00
Closest atoms and distances in Å follow each position.
Space group P2_1/m (No. 11)
Unique sites:
Ho 0.1846 0.2500 0.3947  6 Te 3.07-3.27, 1 Au 3.14
Ho 0.2597 0.2500 0.9390  8 Te 3.15-3.39
Te 0.0527 0.7500 0.3584  1 Au 2.68
Te 0.0845 0.7500 0.9192  1 Au 2.78, 1 Ho 3.07
Te 0.4615 0.5054 0.2372  1 Au 2.83, 1 Te 3.05
Au 0.2321 0.7500 0.6564  4 Te 2.68-2.83